1.
# ErSc2Ru3

A relaxed ErSc2Ru3 crystal (PBE, the Alexandria database).

Properties
Its crystal system is orthorhombic. Its space group is Cmmm. As for the density of states at the Fermi level: 7.04 states/eV per cell. The formation enthalpy at 0 K is -45.5 kJ per mole of atoms. As for the total energy: -7.98 eV per atom. The calculation puts the size of the total moment at 0.00 μB/cell.

a = 3.282 Å, b = 4.618 Å, c = 7.275 Å
α = 108.51°, β = 90.00°, γ = 90.00°
Fractional coordinates of all 6 atoms:
1 Ru 0.500 0.829 0.657
2 Ru 0.500 0.171 0.343
3 Ru 0.500 0.500 0.000
4 Sc 0.000 0.331 0.662
5 Sc 0.000 0.669 0.338
6 Er 0.000 0.000 0.000

---

2.
# AlTe8

A relaxed AlTe8 crystal (PBE, the Alexandria database).

Properties
Its crystal system is tetragonal. The uncorrected formation energy is 0.231 eV/atom. Its space group is I4/mmm. As for the density of states at the Fermi level: 5.10 states/eV per cell. As for the total energy: -2.98 eV per atom. The calculation puts the size of the total moment at 0.00 μB/cell.

a = 8.402 Å, b = 8.402 Å, c = 8.402 Å
α = 92.80°, β = 92.80°, γ = 154.45°
Fractional coordinates of all 9 atoms:
1 Te 0.351 0.649 0.000
2 Te 0.668 0.000 0.668
3 Te 0.000 0.332 0.332
4 Te 0.351 0.351 0.702
5 Te 0.332 0.000 0.332
6 Te 0.000 0.668 0.668
7 Te 0.649 0.649 0.298
8 Te 0.649 0.351 0.000
9 Al 0.000 0.000 0.000

---

3.
# La8Pr2Tl

A relaxed La8Pr2Tl crystal (PBE, the Alexandria database).

Properties
Its crystal system is monoclinic. Its space group is C2/m. As for the density of states at the Fermi level: 16.88 states/eV per cell. The formation enthalpy at 0 K is 1.0 kJ per mole of atoms. As for the total energy: -4.66 eV per atom. The calculation puts the size of the total moment at 0.00 μB/cell.

a = 6.344 Å, b = 10.530 Å, c = 10.530 Å
α = 37.90°, β = 65.52°, γ = 65.52°
Fractional coordinates of all 11 atoms:
1 Pr 0.881 0.288 0.288
2 La 0.228 0.524 0.524
3 Pr 0.119 0.712 0.712
4 La 0.696 0.900 0.418
5 La 0.321 0.099 0.099
6 La 0.304 0.100 0.582
7 La 0.696 0.418 0.900
8 Tl 0.000 0.000 0.000
9 La 0.679 0.901 0.901
10 La 0.772 0.476 0.476
11 La 0.304 0.582 0.100

---

4.
# PaZnTcGe

A relaxed PaZnTcGe crystal (PBE, the Alexandria database).

Properties
Its crystal system is cubic. Its space group is F-43m. As for the density of states at the Fermi level: 2.89 states/eV per cell. The formation enthalpy at 0 K is -13.7 kJ per mole of atoms. As for the total energy: -6.58 eV per atom. The calculation puts the size of the total moment at 0.00 μB/cell.

a = 4.650 Å, b = 4.650 Å, c = 4.650 Å
α = 60.00°, β = 60.00°, γ = 60.00°
Fractional coordinates of all 4 atoms:
1 Pa 0.750 0.750 0.750
2 Tc 0.250 0.250 0.250
3 Ge 0.500 0.500 0.500
4 Zn 0.000 0.000 0.000

---

5.
# PrY2Er2Tm2

A relaxed PrY2Er2Tm2 crystal (PBE, the Alexandria database).

Properties
Its crystal system is monoclinic. Its space group is C2/m. As for the density of states at the Fermi level: 11.52 states/eV per cell. The formation enthalpy at 0 K is 14.6 kJ per mole of atoms. As for the total energy: -4.96 eV per atom. The calculation puts the size of the total moment at 0.00 μB/cell.

a = 3.487 Å, b = 8.973 Å, c = 8.344 Å
α = 116.24°, β = 90.00°, γ = 101.21°
Fractional coordinates of all 7 atoms:
1 Y 0.428 0.855 0.086
2 Y 0.572 0.145 0.914
3 Er 0.651 0.301 0.394
4 Tm 0.788 0.576 0.201
5 Tm 0.212 0.424 0.799
6 Er 0.349 0.699 0.606
7 Pr 0.000 0.000 0.500

---

6.
# LaSm4Ga4

A relaxed LaSm4Ga4 crystal (PBE, the Alexandria database).

Properties
Its crystal system is tetragonal. Its space group is P4_2/n. As for the density of states at the Fermi level: 17.95 states/eV per cell. The formation enthalpy at 0 K is -29.3 kJ per mole of atoms. As for the total energy: -4.29 eV per atom. The calculation puts the size of the total moment at 0.00 μB/cell.

a = 5.901 Å, b = 9.016 Å, c = 9.016 Å
α = 90.00°, β = 90.00°, γ = 90.00°
Fractional coordinates of all 18 atoms:
1 Sm 0.364 0.584 0.163
2 La 0.000 0.000 0.000
3 Sm 0.364 0.416 0.837
4 Sm 0.636 0.163 0.416
5 Ga 0.126 0.274 0.379
6 Ga 0.126 0.726 0.621
7 Sm 0.864 0.663 0.916
8 Ga 0.374 0.226 0.121
9 Ga 0.874 0.621 0.274
10 Ga 0.374 0.774 0.879
11 Ga 0.874 0.379 0.726
12 Ga 0.626 0.879 0.226
13 Sm 0.864 0.337 0.084
14 La 0.500 0.500 0.500
15 Sm 0.136 0.916 0.337
16 Ga 0.626 0.121 0.774
17 Sm 0.636 0.837 0.584
18 Sm 0.136 0.084 0.663

---

7.
# Pr3Sm2Hg4

A relaxed Pr3Sm2Hg4 crystal (PBE, the Alexandria database).

Properties
Its crystal system is orthorhombic. Its space group is Cmce. As for the density of states at the Fermi level: 19.75 states/eV per cell. The formation enthalpy at 0 K is -28.1 kJ per mole of atoms. As for the total energy: -3.07 eV per atom. The calculation puts the size of the total moment at 0.00 μB/cell.

a = 7.010 Å, b = 8.244 Å, c = 10.183 Å
α = 90.00°, β = 110.13°, γ = 90.00°
Fractional coordinates of all 18 atoms:
1 Hg 0.178 0.750 0.857
2 Pr 0.000 0.000 0.000
3 Sm 0.094 0.585 0.187
4 Hg 0.161 0.964 0.321
5 Sm 0.406 0.085 0.813
6 Sm 0.906 0.415 0.813
7 Pr 0.010 0.750 0.520
8 Hg 0.839 0.036 0.679
9 Pr 0.990 0.250 0.480
10 Pr 0.490 0.250 0.480
11 Pr 0.500 0.500 0.000
12 Sm 0.594 0.915 0.187
13 Hg 0.661 0.536 0.321
14 Hg 0.339 0.464 0.679
15 Hg 0.678 0.750 0.857
16 Pr 0.510 0.750 0.520
17 Hg 0.822 0.250 0.143
18 Hg 0.322 0.250 0.143

---

8.
# TlIn2Br

A relaxed TlIn2Br crystal (PBE, the Alexandria database).

Properties
Its crystal system is tetragonal. The uncorrected formation energy is -0.036 eV/atom. Its space group is I-42d. As for the density of states at the Fermi level: 1.12 states/eV per cell. As for the total energy: -2.41 eV per atom. The calculation puts the size of the total moment at 0.00 μB/cell.

a = 6.703 Å, b = 6.703 Å, c = 8.819 Å
α = 67.66°, β = 67.66°, γ = 90.00°
Fractional coordinates of all 8 atoms:
1 Tl 0.750 0.250 0.500
2 Br 0.500 0.500 0.000
3 In 0.375 0.352 0.750
4 In 0.875 0.898 0.750
5 Br 0.250 0.750 0.500
6 In 0.648 0.125 0.250
7 Tl 0.000 0.000 0.000
8 In 0.102 0.625 0.250

---

9.
# Li3Cd3In5

A relaxed Li3Cd3In5 crystal (PBE, the Alexandria database).

Properties
Its crystal system is hexagonal. Its space group is P-62m. As for the density of states at the Fermi level: 7.69 states/eV per cell. The formation enthalpy at 0 K is -3.9 kJ per mole of atoms. As for the total energy: -2.06 eV per atom. The calculation puts the size of the total moment at 0.00 μB/cell.

a = 3.078 Å, b = 9.970 Å, c = 9.970 Å
α = 120.00°, β = 90.00°, γ = 90.00°
Fractional coordinates of all 11 atoms:
1 Li 0.000 0.587 0.000
2 In 0.500 0.667 0.333
3 In 0.500 0.333 0.667
4 Li 0.000 0.000 0.587
5 Li 0.000 0.413 0.413
6 Cd 0.500 0.825 0.000
7 Cd 0.500 0.175 0.175
8 In 0.500 0.000 0.345
9 In 0.500 0.345 0.000
10 Cd 0.500 0.000 0.825
11 In 0.500 0.655 0.655

---

10.
# TaBe2Au

A relaxed TaBe2Au crystal (PBE, the Alexandria database).

Properties
Its crystal system is tetragonal. Its space group is P4/mmm. As for the density of states at the Fermi level: 1.72 states/eV per cell. The formation enthalpy at 0 K is -6.9 kJ per mole of atoms. As for the total energy: -5.72 eV per atom. The calculation puts the size of the total moment at 0.00 μB/cell.

a = 2.878 Å, b = 2.878 Å, c = 6.342 Å
α = 90.00°, β = 90.00°, γ = 90.00°
Fractional coordinates of all 4 atoms:
1 Au 0.500 0.500 0.750
2 Be 0.000 0.000 0.520
3 Ta 0.500 0.500 0.250
4 Be 0.000 0.000 0.980

---

11.
# Pm6InIr2

A relaxed Pm6InIr2 crystal (PBE, the Alexandria database).

Properties
Its crystal system is orthorhombic. Its space group is Immm. As for the density of states at the Fermi level: 14.48 states/eV per cell. The formation enthalpy at 0 K is -50.0 kJ per mole of atoms. As for the total energy: -5.96 eV per atom. The calculation puts the size of the total moment at 0.00 μB/cell.

a = 8.742 Å, b = 8.742 Å, c = 8.742 Å
α = 104.41°, β = 110.97°, γ = 113.16°
Fractional coordinates of all 18 atoms:
1 Ir 0.500 0.370 0.870
2 Pm 0.690 0.019 0.330
3 Ir 0.331 0.000 0.331
4 Pm 0.530 0.712 0.819
5 Pm 0.203 0.763 0.966
6 Pm 0.310 0.981 0.670
7 Pm 0.107 0.288 0.819
8 Pm 0.203 0.237 0.440
9 In 0.000 0.500 0.500
10 Pm 0.690 0.360 0.670
11 Pm 0.893 0.712 0.181
12 Pm 0.797 0.237 0.034
13 Ir 0.669 0.000 0.669
14 Pm 0.470 0.288 0.181
15 Pm 0.310 0.640 0.330
16 In 0.000 0.000 0.000
17 Ir 0.500 0.630 0.130
18 Pm 0.797 0.763 0.560

---

12.
# TcMo3

A relaxed TcMo3 crystal (PBE, the Alexandria database).

Properties
Its crystal system is orthorhombic. Its space group is Pmmn. As for the density of states at the Fermi level: 8.49 states/eV per cell. The formation enthalpy at 0 K is 27.1 kJ per mole of atoms. As for the total energy: -10.43 eV per atom. The calculation puts the size of the total moment at 0.00 μB/cell.

a = 4.608 Å, b = 5.179 Å, c = 5.302 Å
α = 90.00°, β = 90.00°, γ = 90.00°
Fractional coordinates of all 8 atoms:
1 Tc 0.500 0.500 0.660
2 Mo 0.500 0.740 0.147
3 Mo 0.000 0.760 0.853
4 Mo 0.000 0.500 0.370
5 Mo 0.000 0.240 0.853
6 Mo 0.500 0.000 0.630
7 Tc 0.000 0.000 0.340
8 Mo 0.500 0.260 0.147

---

13.
# SrOsSe2

A relaxed SrOsSe2 crystal (PBE, the Alexandria database).

Properties
Its crystal system is orthorhombic. The uncorrected formation energy is -0.227 eV/atom. Its space group is Imm2. As for the density of states at the Fermi level: 2.15 states/eV per cell. As for the total energy: -5.20 eV per atom. The calculation puts the size of the total moment at 0.00 μB/cell.

a = 6.986 Å, b = 6.986 Å, c = 6.986 Å
α = 150.44°, β = 148.05°, γ = 44.09°
Fractional coordinates of all 4 atoms:
1 Os 0.203 0.703 0.500
2 Sr 0.453 0.453 0.000
3 Se 0.072 0.072 0.000
4 Se 0.773 0.273 0.500

---

14.
# Tl2AgIrO8

A relaxed Tl2AgIrO8 crystal (PBE, the Alexandria database).

Properties
Its crystal system is triclinic. The uncorrected formation energy is -0.366 eV/atom. Its space group is P-1. As for the density of states at the Fermi level: 5.98 states/eV per cell. As for the total energy: -5.04 eV per atom. The calculation puts the size of the total moment at 0.53 μB/cell.

a = 5.050 Å, b = 4.847 Å, c = 6.855 Å
α = 91.41°, β = 87.51°, γ = 95.49°
Last column: magnetic moment on the atom in μB.
Fractional coordinates of all 12 atoms:
1 O 0.094 0.802 0.236  0.01
2 O 0.345 0.250 0.479  0.00
3 O 0.669 0.757 0.990  -0.02
4 O 0.835 0.237 0.163  0.15
5 Tl 0.476 0.559 0.254  0.00
6 O 0.906 0.198 0.764  0.01
7 Ir 0.000 0.000 0.000  0.14
8 O 0.331 0.243 0.010  -0.02
9 O 0.165 0.763 0.837  0.15
10 Tl 0.524 0.441 0.746  0.00
11 O 0.655 0.750 0.521  0.00
12 Ag 0.000 0.000 0.500  0.04

---

15.
# Te2RhBr

A relaxed Te2RhBr crystal (PBE, the Alexandria database).

Properties
Its crystal system is tetragonal. The uncorrected formation energy is -0.034 eV/atom. Its space group is I-42d. As for the density of states at the Fermi level: 0.64 states/eV per cell. As for the total energy: -3.86 eV per atom. The calculation puts the size of the total moment at 0.00 μB/cell.

a = 7.212 Å, b = 7.212 Å, c = 7.042 Å
α = 59.19°, β = 59.19°, γ = 90.00°
Fractional coordinates of all 8 atoms:
1 Te 0.699 0.125 0.250
2 Te 0.375 0.301 0.750
3 Te 0.051 0.625 0.250
4 Br 0.500 0.500 0.000
5 Rh 0.000 0.000 0.000
6 Te 0.875 0.949 0.750
7 Br 0.250 0.750 0.500
8 Rh 0.750 0.250 0.500

---

16.
# Tl2AgAs

A relaxed Tl2AgAs crystal (PBE, the Alexandria database).

Properties
Its crystal system is monoclinic. Its space group is P2/m. As for the density of states at the Fermi level: 1.08 states/eV per cell. The formation enthalpy at 0 K is 20.3 kJ per mole of atoms. As for the total energy: -2.85 eV per atom. The calculation puts the size of the total moment at 0.00 μB/cell.

a = 4.230 Å, b = 3.346 Å, c = 7.291 Å
α = 72.23°, β = 90.00°, γ = 90.00°
Fractional coordinates of all 4 atoms:
1 Tl 0.000 0.514 0.498
2 Tl 0.000 0.986 0.002
3 As 0.500 0.750 0.750
4 Ag 0.500 0.250 0.250

---

17.
# VSiNi

A relaxed VSiNi crystal (PBE, the Alexandria database).

Properties
Its crystal system is monoclinic. The uncorrected formation energy is -0.565 eV/atom. Its space group is P2_1/m. As for the density of states at the Fermi level: 17.67 states/eV per cell. As for the total energy: -7.34 eV per atom. The calculation puts the size of the total moment at 1.15 μB/cell.

a = 3.557 Å, b = 6.023 Å, c = 10.315 Å
α = 89.49°, β = 90.00°, γ = 90.00°
Last column: magnetic moment on the atom in μB.
Fractional coordinates of all 18 atoms:
1 Si 0.250 0.235 0.413  0.01
2 Ni 0.250 0.852 0.459  -0.02
3 Si 0.750 0.270 0.751  0.01
4 Si 0.250 0.730 0.249  0.01
5 Ni 0.750 0.635 0.797  -0.03
6 Ni 0.750 0.148 0.541  -0.02
7 V 0.750 0.529 0.385  -0.01
8 V 0.750 0.022 0.290  -0.28
9 Si 0.750 0.241 0.086  0.00
10 Ni 0.250 0.993 0.088  -0.05
11 Ni 0.250 0.365 0.203  -0.03
12 V 0.250 0.471 0.615  -0.01
13 Si 0.250 0.759 0.914  0.00
14 V 0.250 0.978 0.710  -0.28
15 Ni 0.750 0.007 0.912  -0.05
16 V 0.250 0.348 0.921  -0.16
17 Si 0.750 0.765 0.587  0.01
18 V 0.750 0.652 0.079  -0.16

---

18.
# Er5ZrSb4

A relaxed Er5ZrSb4 crystal (PBE, the Alexandria database).

Properties
Its crystal system is monoclinic. The uncorrected formation energy is -0.615 eV/atom. Its space group is C2/m. As for the density of states at the Fermi level: 5.67 states/eV per cell. As for the total energy: -5.40 eV per atom. The calculation puts the size of the total moment at 0.00 μB/cell.

a = 4.202 Å, b = 8.203 Å, c = 9.371 Å
α = 105.29°, β = 102.96°, γ = 90.00°
Fractional coordinates of all 10 atoms:
1 Sb 0.666 0.078 0.331
2 Er 0.500 0.500 0.000
3 Sb 0.334 0.922 0.669
4 Zr 0.500 0.000 0.000
5 Er 0.165 0.811 0.329
6 Sb 0.992 0.749 0.984
7 Sb 0.008 0.251 0.016
8 Er 0.835 0.189 0.671
9 Er 0.820 0.648 0.640
10 Er 0.180 0.352 0.360

---

19.
# Al3Cu2Ni3

A relaxed Al3Cu2Ni3 crystal (PBE, the Alexandria database).

Properties
Its crystal system is hexagonal. Its space group is P6_3/mcm. As for the density of states at the Fermi level: 4.00 states/eV per cell. The formation enthalpy at 0 K is -26.3 kJ per mole of atoms. As for the total energy: -4.87 eV per atom. The calculation puts the size of the total moment at 0.00 μB/cell.

a = 7.048 Å, b = 7.048 Å, c = 4.741 Å
α = 90.00°, β = 90.00°, γ = 120.01°
Fractional coordinates of all 16 atoms:
1 Al 0.383 0.000 0.750
2 Al 0.000 0.617 0.250
3 Cu 0.667 0.333 0.500
4 Ni 0.744 0.000 0.750
5 Cu 0.667 0.333 0.000
6 Ni 0.255 0.255 0.750
7 Al 0.383 0.383 0.250
8 Ni 0.000 0.256 0.250
9 Cu 0.333 0.667 0.500
10 Al 0.617 0.000 0.250
11 Cu 0.333 0.667 0.000
12 Al 0.617 0.617 0.750
13 Al 0.000 0.383 0.750
14 Ni 0.745 0.745 0.250
15 Ni 0.000 0.744 0.750
16 Ni 0.256 0.000 0.250

---

20.
# Sr2ZrTa

A relaxed Sr2ZrTa crystal (PBE, the Alexandria database).

Properties
Its crystal system is monoclinic. Its space group is C2/m. As for the density of states at the Fermi level: 5.89 states/eV per cell. The formation enthalpy at 0 K is 93.5 kJ per mole of atoms. As for the total energy: -4.97 eV per atom. The calculation puts the size of the total moment at 1.61 μB/cell.

a = 6.446 Å, b = 7.128 Å, c = 3.194 Å
α = 63.56°, β = 89.91°, γ = 116.27°
Last column: magnetic moment on the atom in μB.
Fractional coordinates of all 4 atoms:
1 Zr 0.500 0.000 0.500  0.34
2 Sr 0.000 0.000 0.000  0.03
3 Sr 0.000 0.500 0.500  0.03
4 Ta 0.500 0.500 0.000  0.51